No. 1
Te3HBr PBE relaxed; density = 6.780 g/cm3; ΔE to the lowest computed polymorph = 0.00 eV per formula unit; total DFT energy (no corrections) = -2.35 eV/atom; magnetic moment = 0.000 μB/cell
1.0
-2.566 -1.728 -3.726
-0.579 -4.197 2.346
-4.066 1.689 2.017
H Te Br
1 3 1
Direct
0.000 0.000 0.000 H
0.000 0.500 0.000 Te
0.000 0.000 0.500 Te
0.500 0.000 0.000 Te
0.500 0.500 0.500 Br

=====

No. 2
Pa2TlGa PBE relaxed; energy of formation from the pure elements = -0.050 eV/atom; density = 12.778 g/cm3; ΔE to the lowest computed polymorph = 0.00 eV per formula unit; total DFT energy (no corrections) = -6.15 eV/atom; magnetic moment = 0.000 μB/cell
1.0
3.214 0.000 0.000
1.607 2.784 0.000
1.607 0.928 10.692
Tl Pa Ga
1 2 1
Direct
0.500 0.500 0.500 Tl
0.255 0.255 0.234 Pa
0.745 0.745 0.766 Pa
0.000 0.000 0.000 Ga

=====

No. 3
Y2Tm2CuPd4 PBE relaxed; energy of formation from the pure elements = -0.505 eV/atom; density = 8.631 g/cm3; total DFT energy (no corrections) = -5.70 eV/atom; magnetic moment = 0.000 μB/cell
1.0
6.341 0.234 0.338
-2.839 5.675 -0.338
-2.839 -2.310 5.195
Y Tm Cu Pd
2 2 1 4
Direct
0.000 0.697 0.697 Y
0.000 0.303 0.303 Y
0.500 0.750 0.250 Tm
0.500 0.250 0.750 Tm
0.000 0.000 0.000 Cu
0.000 0.742 0.258 Pd
0.485 0.742 0.742 Pd
0.000 0.258 0.742 Pd
0.515 0.258 0.258 Pd

=====

No. 4
Sr2Ac5Sn4 PBE relaxed; energy of formation from the pure elements = -0.374 eV/atom; density = 6.511 g/cm3; total DFT energy (no corrections) = -4.00 eV/atom; magnetic moment = 0.002 μB/cell
1.0
-1.764 -1.711 3.970
-1.512 -7.543 -3.924
12.221 2.599 3.806
Sr Ac Sn
2 5 4
Direct
0.567 0.515 0.133 Sr
0.433 0.485 0.867 Sr
0.177 0.901 0.353 Ac
0.823 0.099 0.647 Ac
0.160 0.345 0.320 Ac
0.500 0.000 0.000 Ac
0.840 0.655 0.680 Ac
0.711 0.675 0.422 Sn
0.034 0.779 0.068 Sn
0.289 0.325 0.578 Sn
0.966 0.221 0.932 Sn

=====

No. 5
Zr5ScTl2 PBE relaxed; energy of formation from the pure elements = -0.123 eV/atom; density = 8.369 g/cm3; total DFT energy (no corrections) = -6.85 eV/atom; magnetic moment = 0.000 μB/cell
1.0
4.476 0.000 0.000
0.000 6.363 0.000
0.000 0.000 12.678
Zr Sc Tl
10 2 4
Direct
0.000 0.000 0.000 Zr
0.000 0.500 0.500 Zr
0.000 0.489 0.749 Zr
0.000 0.511 0.251 Zr
0.000 0.011 0.249 Zr
0.000 0.989 0.751 Zr
0.500 0.241 0.871 Zr
0.500 0.759 0.129 Zr
0.500 0.259 0.371 Zr
0.500 0.741 0.629 Zr
0.000 0.000 0.500 Sc
0.000 0.500 0.000 Sc
0.500 0.241 0.622 Tl
0.500 0.759 0.378 Tl
0.500 0.259 0.122 Tl
0.500 0.741 0.878 Tl